This record from Alexandria via LeMat-Bulk describes a relaxed CoNi2Ir crystal. The functional is PBE-GGA.

Relative energy among the computed polymorphs: 3 meV per atom
Formation energy from the elements: 0.1 eV per formula unit
SG: No. 119

Cell lengths 4.426, 4.426, 4.426 Å; angles 131.52, 131.52, 70.99 degrees
Last column: magnetic moment on the atom in μB.
Positions (direct):
Ir (0.250, 0.750, 0.500)  0.48
Co (0.500, 0.500, 0.000)  1.61
Ni (0.750, 0.250, 0.500)  0.52
Ni (0.000, 0.000, 0.000)  0.47



This record from Alexandria via LeMat-Bulk describes a relaxed Co2Ni2Ir crystal. The functional is PBE-GGA.

Relative energy among the computed polymorphs: 426 meV per atom
Formation energy from the elements: 2.2 eV per formula unit
SG: No. 70

Cell lengths 8.793, 8.042, 4.595 Å; angles 83.41, 65.31, 31.27 degrees
Last column: magnetic moment on the atom in μB.
Positions (direct):
Co (0.062, 0.438, 0.062)  1.54
Co (0.812, 0.188, 0.812)  1.54
Co (0.438, 0.062, 0.438)  1.54
Co (0.188, 0.812, 0.188)  1.54
Ir (0.750, 0.750, 0.750)  0.55
Ir (0.500, 0.500, 0.500)  0.55
Ni (0.363, 0.363, 0.137)  0.81
Ni (0.887, 0.887, 0.113)  0.81
Ni (0.137, 0.137, 0.363)  0.81
Ni (0.113, 0.113, 0.887)  0.81



This record from Alexandria via LeMat-Bulk describes a relaxed Co4Ni3Ir crystal. The functional is PBE-GGA.

Relative energy among the computed polymorphs: 0 meV per atom
Formation energy from the elements: 0.2 eV per formula unit
SG: No. 12

Cell lengths 2.554, 4.365, 9.151 Å; angles 113.88, 98.02, 90.00 degrees
Last column: magnetic moment on the atom in μB.
Positions (direct):
Ni (0.249, 0.249, 0.498)  0.73
Ni (0.000, 0.500, 0.000)  0.59
Ni (0.751, 0.751, 0.502)  0.73
Co (0.372, 0.124, 0.744)  1.78
Co (0.128, 0.381, 0.255)  1.64
Co (0.872, 0.619, 0.745)  1.64
Co (0.628, 0.876, 0.256)  1.78
Ir (0.500, 0.000, 0.000)  0.37